1.
VASP calculation (PBE-GGA) on a relaxed Cs5Hg2Br crystal.

Cell lengths 7.502, 9.074, 19.359 Å; angles 90.00, 90.00, 124.01 degrees
Element x y z (fractional)
1 Cs 0.938 0.875 0.885
2 Cs 0.938 0.875 0.615
3 Cs 0.282 0.713 0.408
4 Cs 0.282 0.713 0.092
5 Cs 0.689 0.484 0.250
6 Cs 0.311 0.516 0.750
7 Cs 0.718 0.287 0.592
8 Cs 0.718 0.287 0.908
9 Cs 0.062 0.125 0.115
10 Cs 0.062 0.125 0.385
11 Hg 0.682 0.580 0.449
12 Hg 0.682 0.580 0.051
13 Hg 0.318 0.420 0.551
14 Hg 0.318 0.420 0.949
15 Br 0.848 0.560 0.750
16 Br 0.152 0.440 0.250

Properties
- M_tot (μB/f.u.) = 0.000
- density (kg/m3) = 3483
- formation energy without anion corrections (eV per atom) = -0.523


2.
VASP calculation (PBE-GGA) on a relaxed Cd2SbPd3 crystal.

Cell lengths 5.681, 5.301, 7.856 Å; angles 97.71, 111.20, 90.00 degrees
Element x y z (fractional)
1 Cd 0.790 0.580 0.351
2 Cd 0.561 0.080 0.351
3 Cd 0.439 0.920 0.649
4 Cd 0.210 0.420 0.649
5 Sb 0.841 0.750 0.000
6 Sb 0.159 0.250 0.000
7 Pd 0.641 0.250 0.000
8 Pd 0.359 0.750 0.000
9 Pd 0.042 0.071 0.319
10 Pd 0.722 0.429 0.681
11 Pd 0.278 0.571 0.319
12 Pd 0.958 0.929 0.681

Properties
- M_tot (μB/f.u.) = 0.000
- ΔE to the lowest computed polymorph (meV/atom) = 40
- density (kg/m3) = 10130
- formation energy without anion corrections (eV per atom) = -0.342


3.
VASP calculation (PBE-GGA) on a relaxed Sr2HfRuPb crystal.

Cell lengths 6.102, 5.456, 6.102 Å; angles 90.00, 90.00, 90.00 degrees
Site moments in Bohr magnetons follow the coordinates.
Element x y z (fractional)
1 Pb 0.000 0.000 0.000  0.02
2 Ru 0.500 0.500 0.500  2.05
3 Hf 0.000 0.500 0.000  -0.41
4 Sr 0.000 0.000 0.500  -0.03
5 Sr 0.500 0.000 0.000  -0.03

Properties
- M_tot (μB/f.u.) = 1.238
- formation energy from the elements (meV per atom) = 1263
- density (kg/m3) = 5412


4.
VASP calculation (PBE-GGA) on a relaxed NpTiCu2O8 crystal.

Cell lengths 5.681, 5.681, 5.681 Å; angles 111.81, 111.81, 104.89 degrees
Site moments in Bohr magnetons follow the coordinates.
Element x y z (fractional)
1 Np 0.000 0.000 0.000  -0.14
2 Ti 0.250 0.750 0.500  0.03
3 Cu 0.750 0.250 0.500  -0.35
4 Cu 0.500 0.500 0.000  0.55
5 O 0.347 0.039 0.308  -0.04
6 O 0.301 0.500 0.199  0.13
7 O 0.301 0.102 0.801  0.13
8 O 0.731 0.039 0.692  -0.04
9 O 0.898 0.699 0.199  0.13
10 O 0.961 0.269 0.308  -0.04
11 O 0.961 0.653 0.692  -0.04
12 O 0.500 0.699 0.801  0.13

Properties
- M_tot (μB/f.u.) = 0.502
- density (kg/m3) = 6384
- formation energy without anion corrections (eV per atom) = -1.615


5.
VASP calculation (PBE-GGA) on a relaxed BaIn2Cu crystal.

Cell lengths 4.611, 4.611, 6.975 Å; angles 70.63, 70.63, 60.00 degrees
Element x y z (fractional)
1 Ba 0.250 0.250 0.250
2 Cu 0.750 0.750 0.750
3 In 0.042 0.042 0.874
4 In 0.458 0.458 0.626

Properties
- M_tot (μB/f.u.) = 0.000
- formation energy from the elements (meV per atom) = -228
- density (kg/m3) = 6025


6.
VASP calculation (PBE-GGA) on a relaxed NbTl2GeRh crystal.

Cell lengths 5.235, 4.626, 5.235 Å; angles 90.00, 90.00, 90.00 degrees
Site moments in Bohr magnetons follow the coordinates.
Element x y z (fractional)
1 Ge 0.000 0.500 0.000  0.01
2 Tl 0.000 0.000 0.500  0.01
3 Tl 0.500 0.000 0.000  0.02
4 Rh 0.000 0.000 0.000  0.13
5 Nb 0.500 0.500 0.500  2.39

Properties
- M_tot (μB/f.u.) = 3.224
- formation energy from the elements (meV per atom) = 827
- density (kg/m3) = 8872


7.
VASP calculation (PBE-GGA) on a relaxed MgZr2Pd crystal.

Cell lengths 4.430, 4.218, 4.218 Å; angles 90.00, 90.00, 90.00 degrees
Element x y z (fractional)
1 Mg 0.500 0.500 0.500
2 Zr 0.000 0.000 0.500
3 Zr 0.000 0.500 0.000
4 Pd 0.500 0.000 0.000

Properties
- M_tot (μB/f.u.) = 0.000
- formation energy from the elements (meV per atom) = -247
- density (kg/m3) = 6599


8.
VASP calculation (PBE-GGA) on a relaxed CeDy2Mg crystal.

Cell lengths 5.500, 5.500, 5.500 Å; angles 60.00, 60.00, 60.00 degrees
Site moments in Bohr magnetons follow the coordinates.
Element x y z (fractional)
1 Ce 0.750 0.750 0.750  0.81
2 Dy 0.000 0.000 0.000  0.24
3 Dy 0.250 0.250 0.250  0.15
4 Mg 0.500 0.500 0.500  -0.01

Properties
- M_tot (μB/f.u.) = 1.453
- ΔE to the lowest computed polymorph (meV/atom) = 92
- formation energy from the elements (meV per atom) = 96
- density (kg/m3) = 6908


9.
VASP calculation (PBE-GGA) on a relaxed TiZn3W crystal.

Cell lengths 4.762, 4.762, 4.762 Å; angles 90.00, 90.00, 90.00 degrees
Element x y z (fractional)
1 Zn 0.000 0.500 0.000
2 Zn 0.000 0.000 0.500
3 Zn 0.500 0.000 0.000
4 W 0.000 0.000 0.000
5 Ti 0.500 0.500 0.500

Properties
- M_tot (μB/f.u.) = 0.001
- ΔE to the lowest computed polymorph (meV/atom) = 0
- formation energy from the elements (meV per atom) = 1227
- density (kg/m3) = 6579


10.
VASP calculation (PBE-GGA) on a relaxed Rb3LaBi crystal.

Cell lengths 6.537, 6.537, 6.537 Å; angles 90.00, 90.00, 90.00 degrees
Element x y z (fractional)
1 Bi 0.500 0.500 0.500
2 Rb 0.000 0.500 0.000
3 Rb 0.000 0.000 0.500
4 Rb 0.500 0.000 0.000
5 La 0.000 0.000 0.000

Properties
- M_tot (μB/f.u.) = 0.000
- formation energy from the elements (meV per atom) = 1011
- density (kg/m3) = 3592


11.
VASP calculation (PBE-GGA) on a relaxed La4PmPt2 crystal.

Cell lengths 6.644, 8.290, 8.411 Å; angles 115.09, 90.00, 90.00 degrees
Element x y z (fractional)
1 Pm 0.250 0.850 0.975
2 Pm 0.750 0.150 0.025
3 Pt 0.250 0.221 0.994
4 Pt 0.750 0.779 0.006
5 Pt 0.750 0.358 0.403
6 Pt 0.250 0.642 0.597
7 La 0.513 0.415 0.782
8 La 0.250 0.271 0.356
9 La 0.750 0.729 0.644
10 La 0.987 0.415 0.782
11 La 0.750 0.002 0.376
12 La 0.013 0.585 0.218
13 La 0.487 0.585 0.218
14 La 0.250 0.998 0.624

Properties
- M_tot (μB/f.u.) = 0.000
- formation energy from the elements (meV per atom) = -625
- density (kg/m3) = 8634


12.
VASP calculation (PBE-GGA) on a relaxed Ag2TeP crystal.

Cell lengths 4.007, 4.007, 6.575 Å; angles 72.45, 72.45, 59.01 degrees
Element x y z (fractional)
1 Ag 0.013 0.013 0.959
2 Ag 0.487 0.487 0.541
3 P 0.750 0.750 0.750
4 Te 0.250 0.250 0.250

Properties
- M_tot (μB/f.u.) = 0.000
- ΔE to the lowest computed polymorph (meV/atom) = 51
- density (kg/m3) = 7322
- formation energy without anion corrections (eV per atom) = 0.255


13.
VASP calculation (PBE-GGA) on a relaxed TlAgS2 crystal.

Cell lengths 21.246, 4.369, 8.611 Å; angles 90.00, 145.15, 90.00 degrees
Element x y z (fractional)
1 Tl 0.323 0.250 0.171
2 Tl 0.677 0.750 0.829
3 Tl 0.177 0.750 0.329
4 Tl 0.823 0.250 0.671
5 S 0.930 0.250 0.588
6 S 0.070 0.750 0.412
7 S 0.570 0.750 0.912
8 S 0.430 0.250 0.088
9 S 0.170 0.750 0.815
10 S 0.830 0.250 0.185
11 S 0.330 0.250 0.685
12 S 0.670 0.750 0.315
13 Ag 0.536 0.750 0.269
14 Ag 0.464 0.250 0.731
15 Ag 0.964 0.250 0.231
16 Ag 0.036 0.750 0.769

Properties
- M_tot (μB/f.u.) = 0.000
- density (kg/m3) = 5472
- formation energy without anion corrections (eV per atom) = -0.071


14.
VASP calculation (PBE-GGA) on a relaxed SmAg2Hg4 crystal.

Cell lengths 5.970, 5.598, 5.970 Å; angles 117.49, 101.95, 62.51 degrees
Element x y z (fractional)
1 Sm 0.000 0.000 0.000
2 Ag 0.499 0.751 0.501
3 Ag 0.501 0.249 0.499
4 Hg 0.606 0.698 0.001
5 Hg 0.394 0.302 0.999
6 Hg 0.001 0.302 0.606
7 Hg 0.999 0.698 0.394

Properties
- M_tot (μB/f.u.) = 0.000
- ΔE to the lowest computed polymorph (meV/atom) = 21
- formation energy from the elements (meV per atom) = -149
- density (kg/m3) = 12359


15.
VASP calculation (PBE-GGA) on a relaxed Zn2CrPt9 crystal.

Cell lengths 3.921, 3.921, 11.777 Å; angles 90.00, 90.00, 90.00 degrees
Site moments in Bohr magnetons follow the coordinates.
Element x y z (fractional)
1 Zn 0.000 0.000 0.335  -0.01
2 Zn 0.000 0.000 0.665  -0.01
3 Cr 0.000 0.000 0.000  2.40
4 Pt 0.500 0.500 0.000  -0.04
5 Pt 0.500 0.500 0.332  -0.08
6 Pt 0.500 0.500 0.668  -0.08
7 Pt 0.500 0.000 0.163  -0.09
8 Pt 0.500 0.000 0.500  -0.07
9 Pt 0.500 0.000 0.837  -0.09
10 Pt 0.000 0.500 0.163  -0.09
11 Pt 0.000 0.500 0.500  -0.07
12 Pt 0.000 0.500 0.837  -0.09

Properties
- M_tot (μB/f.u.) = 1.733
- formation energy from the elements (meV per atom) = -323
- density (kg/m3) = 17775


16.
VASP calculation (PBE-GGA) on a relaxed ZrHg2Rh crystal.

Cell lengths 8.432, 8.432, 8.432 Å; angles 24.45, 24.45, 24.45 degrees
Element x y z (fractional)
1 Hg 0.002 0.002 0.002
2 Hg 0.242 0.242 0.242
3 Rh 0.493 0.493 0.493
4 Zr 0.764 0.764 0.764

Properties
- M_tot (μB/f.u.) = 0.000
- ΔE to the lowest computed polymorph (meV/atom) = 117
- formation energy from the elements (meV per atom) = -144
- density (kg/m3) = 10946


17.
VASP calculation (PBE-GGA) on a relaxed Tl2Zn2CrSe4 crystal.

Cell lengths 3.905, 7.571, 8.350 Å; angles 106.92, 103.52, 90.00 degrees
Site moments in Bohr magnetons follow the coordinates.
Element x y z (fractional)
1 Tl 0.122 0.530 0.243  0.01
2 Tl 0.878 0.470 0.757  0.01
3 Zn 0.672 0.991 0.343  0.01
4 Zn 0.328 0.009 0.657  0.01
5 Cr 0.000 0.000 0.000  3.62
6 Se 0.219 0.201 0.438  0.01
7 Se 0.781 0.799 0.562  0.01
8 Se 0.521 0.792 0.042  -0.06
9 Se 0.479 0.208 0.958  -0.06

Properties
- M_tot (μB/f.u.) = 4.000
- density (kg/m3) = 6579
- formation energy without anion corrections (eV per atom) = -0.474


18.
VASP calculation (PBE-GGA) on a relaxed TaBeAgW2 crystal.

Cell lengths 4.339, 4.163, 4.339 Å; angles 90.00, 90.00, 90.00 degrees
Element x y z (fractional)
1 Be 0.000 0.000 0.000
2 Ag 0.000 0.500 0.000
3 W 0.000 0.000 0.500
4 W 0.500 0.000 0.000
5 Ta 0.500 0.500 0.500

Properties
- M_tot (μB/f.u.) = 0.000
- formation energy from the elements (meV per atom) = 738
- density (kg/m3) = 14102


19.
VASP calculation (PBE-GGA) on a relaxed TmTa2N4 crystal.

Cell lengths 3.106, 5.321, 10.330 Å; angles 90.00, 90.00, 106.97 degrees
Element x y z (fractional)
1 Tm 0.617 0.234 0.750
2 Tm 0.383 0.766 0.250
3 Ta 0.129 0.258 0.431
4 Ta 0.871 0.742 0.931
5 Ta 0.129 0.258 0.069
6 Ta 0.871 0.742 0.569
7 N 0.769 0.539 0.114
8 N 0.769 0.539 0.386
9 N 0.231 0.461 0.886
10 N 0.231 0.461 0.614
11 N 0.948 0.895 0.750
12 N 0.052 0.105 0.250
13 N 0.500 0.000 0.000
14 N 0.500 0.000 0.500

Properties
- M_tot (μB/f.u.) = 0.000
- density (kg/m3) = 11934
- formation energy without anion corrections (eV per atom) = -1.367


20.
VASP calculation (PBE-GGA) on a relaxed Li8Zn3Cd2 crystal.

Cell lengths 4.445, 4.935, 9.985 Å; angles 94.77, 90.00, 90.00 degrees
Element x y z (fractional)
1 Li 0.000 0.274 0.402
2 Li 0.000 0.726 0.598
3 Li 0.000 0.777 0.220
4 Li 0.000 0.223 0.780
5 Li 0.500 0.433 0.880
6 Li 0.500 0.831 0.744
7 Li 0.500 0.169 0.256
8 Li 0.500 0.567 0.120
9 Zn 0.500 0.000 0.000
10 Zn 0.000 0.742 0.933
11 Zn 0.000 0.258 0.067
12 Cd 0.500 0.731 0.414
13 Cd 0.500 0.269 0.586

Properties
- M_tot (μB/f.u.) = 0.000
- formation energy from the elements (meV per atom) = -147
- density (kg/m3) = 3626